5
Lattice="-0.5514 4.2495 -0.6140 -2.6541 0.1897 3.6968 3.6559 0.8473 2.5813" Properties=species:S:1:pos:R:3 comment="meta-GGA SCAN NaSc2BIr, PBEsol geometry" magnetic_moment_mub_per_cell=0.00 space_group=P4/mmm dft_energy_ev_per_atom=-21.885 delta_e_f_ev_per_atom=0.36 dos_ef_per_ev_cell=4.94 pbc="T T T"
Sc 1.8280 0.4236 1.2906
Sc -1.3271 0.0949 1.8484
Na -0.2757 2.1248 -0.3070
B 0.0000 0.0000 0.0000
Ir 0.2252 2.6433 2.8321

5
Lattice="4.0126 0.0000 0.0000 0.0000 4.0126 0.0000 0.0000 0.0000 5.6537" Properties=species:S:1:pos:R:3 comment="meta-GGA SCAN NaB2IrSe, PBEsol geometry" magnetic_moment_mub_per_cell=1.15 space_group=P4/mmm dft_energy_ev_per_atom=-21.501 dos_ef_per_ev_cell=2.69 pbc="T T T"
Na 0.0000 0.0000 2.8269
B 0.0000 2.0063 0.0000
B 2.0063 0.0000 0.0000
Ir 0.0000 0.0000 0.0000
Se 2.0063 2.0063 2.8269

5
Lattice="3.8001 0.0000 0.0000 0.0000 3.8001 0.0000 -1.9001 -1.9001 4.2817" Properties=species:S:1:pos:R:3 comment="meta-GGA SCAN NbB2Ir2, PBEsol geometry" magnetic_moment_mub_per_cell=0.00 space_group=I4/mmm dft_energy_ev_per_atom=-38.253 delta_e_f_ev_per_atom=-0.22 dos_ef_per_ev_cell=3.19 pbc="T T T"
Nb 0.0000 0.0000 0.0000
Ir 0.0000 0.0000 3.0458
Ir 1.9001 1.9001 1.2359
B 0.0000 1.9001 2.1409
B 1.9001 0.0000 2.1409

20
Lattice="3.1944 0.0000 0.0000 0.0000 7.2361 0.0004 0.0000 -0.0220 9.2783" Properties=species:S:1:pos:R:3 comment="meta-GGA SCAN Nb3V5B8Ir4, PBEsol geometry" magnetic_moment_mub_per_cell=0.00 space_group=Pm dft_energy_ev_per_atom=-27.294 delta_e_f_ev_per_atom=-0.76 dos_ef_per_ev_cell=10.02 pbc="T T T"
Nb 1.5972 4.8954 1.1999
Nb 1.5972 2.3112 8.0718
Nb 0.0000 1.2737 3.4538
V 0.0000 5.8961 5.8479
V 1.5972 6.6831 7.9785
V 1.5972 0.4966 1.2499
V 0.0000 3.1127 5.8963
V 0.0000 4.1367 3.3930
B 1.5972 4.4717 5.0093
B 1.5972 2.8185 4.3109
B 0.0000 0.7699 8.9099
B 0.0000 6.4229 0.3426
B 1.5972 4.5367 6.7766
B 1.5972 2.7680 2.4990
B 0.0000 0.7976 7.0913
B 0.0000 6.3677 2.1781
Ir 1.5972 0.9053 5.6467
Ir 1.5972 6.2613 3.6788
Ir 0.0000 4.5691 8.2487
Ir 0.0000 2.6460 1.0037

4
Lattice="3.8699 0.0000 0.0000 1.9349 3.3514 0.0000 1.9349 1.1171 3.1597" Properties=species:S:1:pos:R:3 comment="meta-GGA SCAN BIr2O, PBEsol geometry" magnetic_moment_mub_per_cell=0.00 space_group=Fm-3m dft_energy_ev_per_atom=-38.403 dos_ef_per_ev_cell=3.72 pbc="T T T"
B 0.0000 0.0000 0.0000
Ir 1.9349 1.1171 0.7899
Ir 5.8048 3.3514 2.3698
O 3.8699 2.2343 1.5799

5
Lattice="-2.6494 2.6679 0.3916 -2.0648 -1.6542 -2.7001 0.4427 -2.8321 4.0428" Properties=species:S:1:pos:R:3 comment="meta-GGA SCAN B2IrOs2, PBEsol geometry" magnetic_moment_mub_per_cell=0.00 space_group=I4/mmm dft_energy_ev_per_atom=-45.342 delta_e_f_ev_per_atom=0.60 dos_ef_per_ev_cell=3.29 pbc="T T T"
B -1.9897 -1.9897 0.0942
B -2.2820 0.1714 1.6401
Ir 0.0000 0.0000 0.0000
Os -1.3642 -1.6569 2.0583
Os -2.9074 -0.1614 -0.3240

5
Lattice="-3.4938 0.2033 1.6018 0.8513 -4.2482 2.3961 1.8946 2.5294 3.8113" Properties=species:S:1:pos:R:3 comment="meta-GGA SCAN TlBIrOs2, PBEsol geometry" magnetic_moment_mub_per_cell=4.34 space_group=P4/mmm dft_energy_ev_per_atom=-55.592 delta_e_f_ev_per_atom=3.34 dos_ef_per_ev_cell=4.51 pbc="T T T"
Tl 0.0000 0.0000 0.0000
Ir -0.3739 -0.7577 3.9046
Os 0.9473 1.2647 1.9056
Os 0.4257 -2.1241 1.1981
B -1.7469 0.1017 0.8009

5
Lattice="-3.2661 -3.0469 1.8035 -1.2929 -1.4890 -4.8570 3.6297 -3.7772 0.1918" Properties=species:S:1:pos:R:3 comment="meta-GGA SCAN BIrPtPb2, PBEsol geometry" magnetic_moment_mub_per_cell=0.00 space_group=P4/mmm dft_energy_ev_per_atom=-58.330 delta_e_f_ev_per_atom=1.73 dos_ef_per_ev_cell=4.86 pbc="T T T"
Pb 1.8148 -1.8886 0.0959
Pb -0.6464 -0.7445 -2.4285
B -0.4646 -4.1566 -1.4309
Ir -1.6330 -1.5235 0.9017
Pt 0.0000 0.0000 0.0000